The following is a DFT calculation (PBE) of a relaxed structure of Sm5PtS4.

```
Sm5PtS4
1.0
6.8072 -1.9934 0.0000
6.8072 1.9934 0.0000
-4.9906 0.0000 8.6820
Sm Pt S
5 1 4
Direct
0.0000 0.0000 0.0000
0.2012 0.2012 0.8049
0.4000 0.4000 0.5997
0.6000 0.6000 0.4003
0.7988 0.7988 0.1951
0.0000 0.0000 0.5000
0.2002 0.2002 0.2969
0.4003 0.4003 0.0973
0.5997 0.5997 0.9027
0.7998 0.7998 0.7031
```

Spin magnetization, μB/atom: 0.00
DOS at the Fermi energy, states/eV per atom: 0.40
Energy relative to the lowest polymorph listed for this composition, eV/atom: 0.000
Energy relative to the elements, uncorrected, eV per atom: -1.837


The following is a DFT calculation (PBE) of a relaxed structure of Sm6Te3Pt2S.

```
Sm6Te3Pt2S
1.0
3.6552 -6.3430 0.0000
3.6552 6.3430 0.0000
-2.4258 0.0000 7.3516
Sm Te Pt S
6 3 2 1
Direct
0.0880 0.4268 0.7845
0.2335 0.2335 0.2172
0.4268 0.0880 0.7845
0.5732 0.9120 0.2155
0.7665 0.7665 0.7828
0.9120 0.5732 0.2155
0.0000 0.0000 0.5000
0.3362 0.6638 0.5000
0.6638 0.3362 0.5000
0.1673 0.8327 0.0000
0.8327 0.1673 0.0000
0.5000 0.5000 0.0000
```

Spin magnetization, μB/atom: 0.00
DOS at the Fermi energy, states/eV per atom: 0.54
Energy relative to the elements, uncorrected, eV per atom: -1.414